1.
Crystalline BeAgAsPt at its relaxed geometry, computed with PBE-GGA.

a = 4.3949 Å, b = 4.3949 Å, c = 4.3949 Å
α = 60.00°, β = 60.00°, γ = 60.00°
Last column: nearest neighbours and their distance in Å.
Element x y z (fractional)
Be: 0.0000 0.0000 0.0000  4 Pt 2.69, 4 Ag 2.69
Ag: 0.7500 0.7500 0.7500  4 As 2.69, 4 Be 2.69
As: 0.5000 0.5000 0.5000  4 Pt 2.69, 4 Ag 2.69
Pt: 0.2500 0.2500 0.2500  4 As 2.69, 4 Be 2.69

Values from the calculation:
* space-group type: No. 216
* E: -16.8 eV/cell



2.
Crystalline Y3SiAg3Ge2 at its relaxed geometry, computed with PBE-GGA.

a = 7.1624 Å, b = 7.1624 Å, c = 4.1920 Å
α = 90.00°, β = 90.00°, γ = 120.00°
Last column: nearest neighbours and their distance in Å.
Element x y z (fractional)
Y: 0.0000 0.5850 0.0000  1 Si 2.97, 4 Ge 3.01, 2 Ag 3.21
Y: 0.4150 0.4150 0.0000  1 Si 2.97, 4 Ge 3.01, 2 Ag 3.21
Y: 0.5850 0.0000 0.0000  1 Si 2.97, 4 Ge 3.01, 2 Ag 3.21
Si: 0.0000 0.0000 0.0000  6 Ag 2.74, 3 Y 2.97
Ag: 0.0000 0.2454 0.5000  2 Si 2.74, 2 Ge 2.76, 2 Ag 3.04
Ag: 0.2454 0.0000 0.5000  2 Si 2.74, 2 Ge 2.76, 2 Ag 3.04
Ag: 0.7546 0.7546 0.5000  2 Si 2.74, 2 Ge 2.76, 2 Ag 3.04
Ge: 0.3333 0.6667 0.5000  3 Ag 2.76, 6 Y 3.01
Ge: 0.6667 0.3333 0.5000  3 Ag 2.76, 6 Y 3.01

Values from the calculation:
* space-group type: No. 189
* E: -48.4 eV/cell